Density functional theory data (meta-GGA SCAN) for a crystal of Tl3Ru relaxed with PBEsol.

a = 5.213 Å, b = 5.213 Å, c = 5.213 Å
α = 90.00°, β = 90.00°, γ = 90.00°
Positions (direct):
Ru 0.000 0.000 0.000
Tl 0.500 0.000 0.000
Tl 0.000 0.500 0.000
Tl 0.000 0.000 0.500

Summary:
Crystal system: cubic
DOS at the Fermi energy (states/eV/atom): 0.54
Space-group type: No. 221
Energy of formation (eV per atom): 0.236
Theoretical density (Mg/m³): 8.4
Polymorph energy (0 for the lowest one) (kJ/mol of atoms): 0.0


Density functional theory data (meta-GGA SCAN) for a crystal of TlRu relaxed with PBEsol.

a = 4.255 Å, b = 4.255 Å, c = 4.255 Å
α = 60.00°, β = 60.00°, γ = 60.00°
Positions (direct):
Ru 0.000 0.000 0.000
Tl 0.250 0.250 0.250

Summary:
Crystal system: cubic
DOS at the Fermi energy (states/eV/atom): 1.24
Space-group type: No. 216
Energy of formation (eV per atom): 1.688
Theoretical density (Mg/m³): 9.3


Density functional theory data (meta-GGA SCAN) for a crystal of TlRu4 relaxed with PBEsol.

a = 3.842 Å, b = 4.788 Å, c = 4.788 Å
α = 80.74°, β = 66.35°, γ = 66.35°
Positions (direct):
Ru 0.596 0.219 0.589
Ru 0.815 0.589 0.781
Ru 0.404 0.781 0.411
Ru 0.185 0.411 0.219
Tl 0.000 0.000 0.000

Summary:
Crystal system: tetragonal
DOS at the Fermi energy (states/eV/atom): 1.32
Space-group type: No. 87
Energy of formation (eV per atom): 0.492
Theoretical density (Mg/m³): 13.7


Density functional theory data (meta-GGA SCAN) for a crystal of Tl2RuW relaxed with PBEsol.

a = 2.902 Å, b = 4.720 Å, c = 6.299 Å
α = 112.06°, β = 103.32°, γ = 90.00°
Positions (direct):
Ru 0.226 0.727 0.453
Tl 0.969 0.969 0.939
Tl 0.762 0.262 0.523
W 0.543 0.542 0.085

Summary:
Crystal system: orthorhombic
DOS at the Fermi energy (states/eV/atom): 0.59
Space-group type: No. 44
Energy of formation (eV per atom): 0.791
Theoretical density (Mg/m³): 14.9


Density functional theory data (meta-GGA SCAN) for a crystal of TlRu2W relaxed with PBEsol.

a = 2.872 Å, b = 4.731 Å, c = 5.058 Å
α = 100.69°, β = 90.00°, γ = 107.67°
Positions (direct):
Ru 0.761 0.523 0.791
Ru 0.239 0.477 0.209
Tl 0.000 0.000 0.500
W 0.500 0.000 0.000

Summary:
Crystal system: monoclinic
DOS at the Fermi energy (states/eV/atom): 0.56
Space-group type: No. 12
Energy of formation (eV per atom): 0.520
Theoretical density (Mg/m³): 15.3
Polymorph energy (0 for the lowest one) (kJ/mol of atoms): 21.8


Density functional theory data (meta-GGA SCAN) for a crystal of TlRu2W relaxed with PBEsol.

a = 2.836 Å, b = 2.836 Å, c = 9.270 Å
α = 81.20°, β = 81.20°, γ = 60.00°
Positions (direct):
Ru 0.998 0.998 0.006
Ru 0.256 0.256 0.232
Tl 0.503 0.503 0.491
W 0.743 0.743 0.771

Summary:
Crystal system: trigonal
DOS at the Fermi energy (states/eV/atom): 0.82
Space-group type: No. 160
Energy of formation (eV per atom): 0.641
Theoretical density (Mg/m³): 15.4
Polymorph energy (0 for the lowest one) (kJ/mol of atoms): 33.5


Density functional theory data (meta-GGA SCAN) for a crystal of TlRu2W relaxed with PBEsol.

a = 2.939 Å, b = 2.939 Å, c = 7.390 Å
α = 90.00°, β = 90.00°, γ = 90.00°
Positions (direct):
Ru 0.000 0.000 0.721
Ru 0.000 0.000 0.279
Tl 0.500 0.500 0.000
W 0.500 0.500 0.500

Summary:
Crystal system: tetragonal
DOS at the Fermi energy (states/eV/atom): 0.75
Space-group type: No. 123
Energy of formation (eV per atom): 0.294
Theoretical density (Mg/m³): 15.4
Polymorph energy (0 for the lowest one) (kJ/mol of atoms): 0.0


Density functional theory data (meta-GGA SCAN) for a crystal of YTlRu2 relaxed with PBEsol.

a = 3.371 Å, b = 3.371 Å, c = 6.332 Å
α = 90.00°, β = 90.00°, γ = 90.00°
Positions (direct):
Ru 0.000 0.000 0.764
Ru 0.000 0.000 0.236
Tl 0.500 0.500 0.000
Y 0.500 0.500 0.500

Summary:
Crystal system: tetragonal
DOS at the Fermi energy (states/eV/atom): 1.12
Space-group type: No. 123
Energy of formation (eV per atom): 0.122
Theoretical density (Mg/m³): 11.4
Polymorph energy (0 for the lowest one) (kJ/mol of atoms): 0.0


Density functional theory data (meta-GGA SCAN) for a crystal of YTlRu2 relaxed with PBEsol.

a = 3.162 Å, b = 4.442 Å, c = 5.645 Å
α = 90.00°, β = 95.52°, γ = 90.00°
Positions (direct):
Ru 0.575 0.000 0.707
Ru 0.425 0.000 0.293
Tl 0.500 0.500 0.000
Y 0.000 0.500 0.500

Summary:
Crystal system: monoclinic
DOS at the Fermi energy (states/eV/atom): 0.65
Space-group type: No. 10
Energy of formation (eV per atom): 0.212
Theoretical density (Mg/m³): 10.4
Polymorph energy (0 for the lowest one) (kJ/mol of atoms): 8.7


Density functional theory data (meta-GGA SCAN) for a crystal of YTlRu2 relaxed with PBEsol.

a = 4.699 Å, b = 4.699 Å, c = 4.699 Å
α = 60.00°, β = 60.00°, γ = 60.00°
Positions (direct):
Ru 0.000 0.000 0.000
Ru 0.750 0.750 0.750
Tl 0.500 0.500 0.500
Y 0.250 0.250 0.250

Summary:
Crystal system: cubic
DOS at the Fermi energy (states/eV/atom): 0.79
Space-group type: No. 216
Energy of formation (eV per atom): 0.250
Theoretical density (Mg/m³): 11.2
Polymorph energy (0 for the lowest one) (kJ/mol of atoms): 12.4


Density functional theory data (meta-GGA SCAN) for a crystal of Y2TlRu relaxed with PBEsol.

a = 3.406 Å, b = 3.406 Å, c = 7.804 Å
α = 90.00°, β = 90.00°, γ = 90.00°
Positions (direct):
Y 0.000 0.000 0.791
Y 0.000 0.000 0.209
Ru 0.500 0.500 0.000
Tl 0.500 0.500 0.500

Summary:
Crystal system: tetragonal
DOS at the Fermi energy (states/eV/atom): 0.43
Space-group type: No. 123
Energy of formation (eV per atom): -0.557
Theoretical density (Mg/m³): 8.9


Density functional theory data (meta-GGA SCAN) for a crystal of Y2TlRu relaxed with PBEsol.

a = 3.394 Å, b = 3.394 Å, c = 8.161 Å
α = 90.00°, β = 90.00°, γ = 90.00°
Positions (direct):
Ru 0.000 0.000 0.514
Tl 0.500 0.500 0.705
Y 0.000 0.000 0.960
Y 0.500 0.500 0.321

Summary:
Crystal system: tetragonal
DOS at the Fermi energy (states/eV/atom): 1.02
Space-group type: No. 99
Energy of formation (eV per atom): -0.109
Theoretical density (Mg/m³): 8.5


Density functional theory data (meta-GGA SCAN) for a crystal of Zr2Tl2Ru relaxed with PBEsol.

a = 3.801 Å, b = 3.801 Å, c = 8.251 Å
α = 103.32°, β = 103.32°, γ = 90.00°
Positions (direct):
Ru 0.000 0.000 0.000
Tl 0.250 0.750 0.500
Tl 0.750 0.250 0.500
Zr 0.588 0.588 0.176
Zr 0.412 0.412 0.824

Summary:
Crystal system: tetragonal
DOS at the Fermi energy (states/eV/atom): 1.11
Space-group type: No. 139
Energy of formation (eV per atom): 0.526
Theoretical density (Mg/m³): 10.2


Density functional theory data (meta-GGA SCAN) for a crystal of Zr2TlRu relaxed with PBEsol.

a = 3.157 Å, b = 3.153 Å, c = 7.876 Å
α = 90.00°, β = 91.57°, γ = 90.00°
Positions (direct):
Ru 0.500 0.500 0.000
Tl 0.500 0.500 0.500
Zr 0.018 0.000 0.790
Zr 0.982 0.000 0.210

Summary:
Crystal system: monoclinic
DOS at the Fermi energy (states/eV/atom): 0.68
Space-group type: No. 10
Energy of formation (eV per atom): -0.448
Theoretical density (Mg/m³): 10.3


Density functional theory data (meta-GGA SCAN) for a crystal of ZrTl3Ru relaxed with PBEsol.

a = 5.420 Å, b = 5.420 Å, c = 5.420 Å
α = 90.00°, β = 90.00°, γ = 90.00°
Positions (direct):
Ru 0.500 0.500 0.500
Tl 0.000 0.500 0.000
Tl 0.000 0.000 0.500
Tl 0.500 0.000 0.000
Zr 0.000 0.000 0.000

Summary:
Crystal system: cubic
DOS at the Fermi energy (states/eV/atom): 0.73
Space-group type: No. 221
Energy of formation (eV per atom): 1.329
Theoretical density (Mg/m³): 8.4


Density functional theory data (meta-GGA SCAN) for a crystal of YTmRu2 relaxed with PBEsol.

a = 4.702 Å, b = 4.702 Å, c = 4.702 Å
α = 60.00°, β = 60.00°, γ = 60.00°
Positions (direct):
Y 0.000 0.000 0.000
Ru 0.750 0.750 0.750
Ru 0.250 0.250 0.250
Tm 0.500 0.500 0.500

Summary:
Crystal system: cubic
DOS at the Fermi energy (states/eV/atom): 0.64
Space-group type: No. 225
Energy of formation (eV per atom): -0.445
Theoretical density (Mg/m³): 10.4


Density functional theory data (meta-GGA SCAN) for a crystal of Tm2ZnRu relaxed with PBEsol.

a = 4.763 Å, b = 4.763 Å, c = 4.763 Å
α = 60.00°, β = 60.00°, γ = 60.00°
Positions (direct):
Ru 0.000 0.000 0.000
Zn 0.500 0.500 0.500
Tm 0.750 0.750 0.750
Tm 0.250 0.250 0.250

Summary:
Crystal system: cubic
DOS at the Fermi energy (states/eV/atom): 0.49
Space-group type: No. 225
Energy of formation (eV per atom): -0.524
Theoretical density (Mg/m³): 11.0


Density functional theory data (meta-GGA SCAN) for a crystal of TmZrRu2 relaxed with PBEsol.

a = 4.611 Å, b = 4.611 Å, c = 4.611 Å
α = 60.00°, β = 60.00°, γ = 60.00°
Positions (direct):
Ru 0.250 0.250 0.250
Ru 0.750 0.750 0.750
Tm 0.500 0.500 0.500
Zr 0.000 0.000 0.000

Summary:
Crystal system: cubic
DOS at the Fermi energy (states/eV/atom): 0.33
Space-group type: No. 225
Energy of formation (eV per atom): -0.714
Theoretical density (Mg/m³): 11.1


Density functional theory data (meta-GGA SCAN) for a crystal of UZn20Ru2 relaxed with PBEsol.

a = 9.893 Å, b = 9.893 Å, c = 9.893 Å
α = 60.00°, β = 60.00°, γ = 60.00°
Positions (direct):
U 0.000 0.000 0.000
U 0.250 0.250 0.250
Zn 0.125 0.125 0.125
Zn 0.125 0.125 0.625
Zn 0.125 0.625 0.125
Zn 0.625 0.125 0.125
Zn 0.637 0.637 0.363
Zn 0.363 0.363 0.637
Zn 0.637 0.363 0.637
Zn 0.363 0.637 0.363
Zn 0.637 0.363 0.363
Zn 0.363 0.637 0.637
Zn 0.613 0.613 0.887
Zn 0.887 0.887 0.613
Zn 0.613 0.887 0.613
Zn 0.887 0.613 0.887
Zn 0.613 0.887 0.887
Zn 0.887 0.613 0.613
Zn 0.329 0.801 0.801
Zn 0.801 0.329 0.069
Zn 0.801 0.069 0.329
Zn 0.069 0.801 0.801
Zn 0.329 0.069 0.801
Zn 0.801 0.801 0.329
Zn 0.801 0.801 0.069
Zn 0.069 0.329 0.801
Zn 0.329 0.801 0.069
Zn 0.801 0.069 0.801
Zn 0.801 0.329 0.801
Zn 0.069 0.801 0.329
Zn 0.921 0.449 0.449
Zn 0.449 0.921 0.181
Zn 0.449 0.181 0.921
Zn 0.181 0.449 0.449
Zn 0.921 0.181 0.449
Zn 0.449 0.449 0.921
Zn 0.449 0.449 0.181
Zn 0.181 0.921 0.449
Zn 0.921 0.449 0.181
Zn 0.449 0.181 0.449
Zn 0.449 0.921 0.449
Zn 0.181 0.449 0.921
Ru 0.625 0.625 0.625
Ru 0.625 0.625 0.125
Ru 0.625 0.125 0.625
Ru 0.125 0.625 0.625

Summary:
Crystal system: cubic
DOS at the Fermi energy (states/eV/atom): 0.59
Space-group type: No. 227
Energy of formation (eV per atom): -0.122
Theoretical density (Mg/m³): 8.5


Density functional theory data (meta-GGA SCAN) for a crystal of VRu relaxed with PBEsol.

a = 2.967 Å, b = 2.967 Å, c = 2.967 Å
α = 90.00°, β = 90.00°, γ = 90.00°
Positions (direct):
Ru 0.000 0.000 0.000
V 0.500 0.500 0.500

Summary:
Crystal system: cubic
DOS at the Fermi energy (states/eV/atom): 0.86
Space-group type: No. 221
Energy of formation (eV per atom): -0.373
Theoretical density (Mg/m³): 9.7


Density functional theory data (meta-GGA SCAN) for a crystal of Zr2V3Ru relaxed with PBEsol.

a = 5.221 Å, b = 5.221 Å, c = 8.122 Å
α = 90.00°, β = 90.00°, γ = 120.00°
Positions (direct):
Zr 0.333 0.667 0.060
Zr 0.667 0.333 0.940
Zr 0.667 0.333 0.560
Zr 0.333 0.667 0.440
V 0.831 0.169 0.250
V 0.338 0.169 0.250
V 0.831 0.662 0.250
V 0.169 0.831 0.750
V 0.662 0.831 0.750
V 0.169 0.338 0.750
Ru 0.000 0.000 0.000
Ru 0.000 0.000 0.500

Summary:
Crystal system: hexagonal
DOS at the Fermi energy (states/eV/atom): 0.95
Space-group type: No. 194
Energy of formation (eV per atom): -0.310
Theoretical density (Mg/m³): 7.6


Density functional theory data (meta-GGA SCAN) for a crystal of Ru5W4 relaxed with PBEsol.

a = 3.822 Å, b = 6.138 Å, c = 6.138 Å
α = 84.44°, β = 71.86°, γ = 71.86°
Positions (direct):
Ru 0.000 0.000 0.000
Ru 0.664 0.671 0.000
Ru 0.336 0.000 0.329
Ru 0.664 0.000 0.671
Ru 0.336 0.329 0.000
W 0.681 0.319 0.319
W 0.319 0.681 0.681
W 0.000 0.319 0.681
W 0.000 0.681 0.319

Summary:
Crystal system: tetragonal
DOS at the Fermi energy (states/eV/atom): 0.75
Space-group type: No. 139
Energy of formation (eV per atom): 0.057
Theoretical density (Mg/m³): 15.8


Density functional theory data (meta-GGA SCAN) for a crystal of RuW relaxed with PBEsol.

a = 3.933 Å, b = 3.933 Å, c = 3.933 Å
α = 60.00°, β = 60.00°, γ = 60.00°
Positions (direct):
Ru 0.000 0.000 0.000
W 0.250 0.250 0.250

Summary:
Crystal system: cubic
DOS at the Fermi energy (states/eV/atom): 0.41
Space-group type: No. 216
Energy of formation (eV per atom): 1.462
Theoretical density (Mg/m³): 11.0


Density functional theory data (meta-GGA SCAN) for a crystal of Ru3W relaxed with PBEsol.

a = 2.715 Å, b = 4.666 Å, c = 4.679 Å
α = 99.81°, β = 90.00°, γ = 106.92°
Positions (direct):
Ru 0.748 0.496 0.740
Ru 0.252 0.504 0.260
Ru 0.000 0.000 0.500
W 0.500 0.000 0.000

Summary:
Crystal system: monoclinic
DOS at the Fermi energy (states/eV/atom): 0.82
Space-group type: No. 12
Energy of formation (eV per atom): 0.081
Theoretical density (Mg/m³): 14.5


Density functional theory data (meta-GGA SCAN) for a crystal of Ru3W2 relaxed with PBEsol.

a = 4.801 Å, b = 5.212 Å, c = 6.931 Å
α = 99.18°, β = 110.27°, γ = 62.57°
Positions (direct):
Ru 0.741 0.888 0.194
Ru 0.435 0.112 0.806
Ru 0.797 0.388 0.306
Ru 0.880 0.612 0.694
Ru 0.067 0.000 0.000
Ru 0.317 0.500 0.500
W 0.214 0.431 0.103
W 0.542 0.569 0.897
W 0.361 0.931 0.397
W 0.895 0.069 0.603

Summary:
Crystal system: orthorhombic
DOS at the Fermi energy (states/eV/atom): 0.47
Space-group type: No. 43
Energy of formation (eV per atom): 0.031
Theoretical density (Mg/m³): 15.4


Density functional theory data (meta-GGA SCAN) for a crystal of RuW relaxed with PBEsol.

a = 2.748 Å, b = 2.748 Å, c = 9.121 Å
α = 81.34°, β = 81.34°, γ = 60.00°
Positions (direct):
Ru 0.875 0.875 0.375
Ru 0.125 0.125 0.625
W 0.379 0.379 0.864
W 0.621 0.621 0.136

Summary:
Crystal system: trigonal
DOS at the Fermi energy (states/eV/atom): 0.84
Space-group type: No. 166
Energy of formation (eV per atom): 0.236
Theoretical density (Mg/m³): 16.1